Density functional theory data (GGA+U) for CsV2Hg2O7 after structural relaxation.

Unit cell a=6.266 b=6.266 c=9.316 alpha=70.35 beta=70.35 gamma=60.00
Last column: magnetic moment on the atom in μB.
Positions (direct):
1 Hg 0.750 0.750 0.749  0.15
2 Hg 0.250 0.250 0.251  0.15
3 O 0.633 0.152 0.279  0.01
4 O 0.152 0.936 0.279  0.01
5 O 0.367 0.064 0.721  0.01
6 O 0.000 0.000 0.000  -0.01
7 O 0.848 0.367 0.721  0.01
8 O 0.936 0.633 0.279  0.01
9 O 0.064 0.848 0.721  0.01
10 V 0.070 0.070 0.790  0.23
11 V 0.930 0.930 0.210  0.23
12 Cs 0.500 0.500 0.500  0.00

## Properties
Size of the total moment   1.076 μB per cell
Space-group type   R32 (155)
E   -67.12 eV for the cell shown
V   24.33 A^3/atom
Density of states at the Fermi level   5.29 states/eV/f.u.